Material: HfTi2Zn2
Method: DFT, PBE
State: relaxed

- energy above the lowest structure with this stoichiometry (meV/atom) = 196
- Fermi-level density of states (states/eV per cell) = 11.52

a b c (Å): 3.742 3.742 13.094
angles (deg): 98.21 98.21 90.00
Site moments in Bohr magnetons follow the coordinates.
Positions (direct):
1 Ti 0.750 0.250 0.500  -0.01
2 Ti 0.924 0.924 0.848  0.29
3 Ti 0.076 0.076 0.152  0.29
4 Ti 0.250 0.750 0.500  -0.01
5 Zn 0.000 0.500 0.000  0.00
6 Zn 0.826 0.826 0.652  0.00
7 Zn 0.500 0.000 0.000  0.00
8 Zn 0.174 0.174 0.348  0.00
9 Hf 0.372 0.372 0.744  0.12
10 Hf 0.628 0.628 0.256  0.12

***

Material: LiAcSbSe3
Method: DFT, PBE
State: relaxed

- Fermi-level density of states (states/eV per cell) = 2.41
- ΔE_f (raw) (eV/atom) = -1.094

a b c (Å): 6.194 6.194 9.119
angles (deg): 78.42 78.42 79.09
Positions (direct):
1 Ac 0.696 0.696 0.863
2 Ac 0.304 0.304 0.137
3 Se 0.201 0.671 0.830
4 Se 0.671 0.201 0.830
5 Se 0.799 0.329 0.170
6 Se 0.773 0.773 0.509
7 Se 0.329 0.799 0.170
8 Se 0.227 0.227 0.491
9 Sb 0.286 0.714 0.500
10 Sb 0.714 0.286 0.500
11 Li 0.099 0.099 0.769
12 Li 0.901 0.901 0.231

***

Material: Ac3Sm3Y2
Method: DFT, PBE
State: relaxed

- raw total energy (eV/atom) = -4.77
- Fermi-level density of states (states/eV per cell) = 33.65

a b c (Å): 6.908 10.116 10.116
angles (deg): 60.00 90.00 90.00
Positions (direct):
1 Ac 0.250 0.759 0.241
2 Ac 0.750 0.241 0.759
3 Ac 0.750 0.759 0.000
4 Ac 0.750 0.000 0.241
5 Ac 0.250 0.000 0.759
6 Ac 0.250 0.241 0.000
7 Sm 0.750 0.000 0.590
8 Sm 0.250 0.000 0.410
9 Sm 0.750 0.590 0.410
10 Sm 0.250 0.590 0.000
11 Sm 0.250 0.410 0.590
12 Sm 0.750 0.410 0.000
13 Y 0.500 0.667 0.667
14 Y 0.000 0.667 0.667
15 Y 0.000 0.333 0.333
16 Y 0.500 0.333 0.333

***

Material: Tb3DyEr2Tm6
Method: DFT, PBE
State: relaxed

- raw total energy (eV/atom) = -4.51
- Fermi-level density of states (states/eV per cell) = 16.44

a b c (Å): 6.073 6.073 11.603
angles (deg): 95.00 95.00 119.94
Positions (direct):
1 Tb 0.167 0.833 0.500
2 Tb 0.500 0.500 0.500
3 Tb 0.833 0.167 0.500
4 Tm 0.250 0.250 0.751
5 Tm 0.917 0.583 0.751
6 Tm 0.083 0.417 0.249
7 Tm 0.417 0.083 0.249
8 Tm 0.583 0.917 0.751
9 Tm 0.750 0.750 0.249
10 Er 0.333 0.667 0.000
11 Er 0.667 0.333 0.000
12 Dy 0.000 0.000 0.000

***

Question: What is the Fermi-level density of states in the fourth record?
Answer: 16.44 states/eV per cell